[1]
Here is a relaxed ScSb2Cl crystal from the Alexandria database. Energies are from GGA-PBE.

Summary:
The value obtained for the density of states at the Fermi level is 0.915 states/eV per atom.

Cell lengths 5.444, 5.444, 3.256 Å; angles 90.00, 90.00, 90.00 degrees
Site moments in Bohr magnetons follow the coordinates.
Positions (direct):
Cl: 0.000 0.500 0.500  0.01
Sc: 0.500 0.000 0.500  0.22
Sb: 0.000 0.000 0.000  0.00
Sb: 0.500 0.500 0.000  0.00

---

[2]
Here is a relaxed ScSb2Cl crystal from the Alexandria database. Energies are from GGA-PBE.

Summary:
The value obtained for the density of states at the Fermi level is 1.414 states/eV per atom.

Cell lengths 10.527, 10.527, 10.527 Å; angles 18.77, 18.77, 18.77 degrees
Positions (direct):
Cl: 0.778 0.778 0.778
Sb: 0.988 0.988 0.988
Sb: 0.237 0.237 0.237
Sc: 0.497 0.497 0.497

---

[3]
Here is a relaxed ScSbCl2 crystal from the Alexandria database. Energies are from GGA-PBE.

Summary:
The value obtained for the density of states at the Fermi level is 0.932 states/eV per atom.

Cell lengths 7.128, 7.128, 7.172 Å; angles 64.32, 64.32, 25.80 degrees
Positions (direct):
Sc: 0.266 0.266 0.093
Cl: 0.748 0.748 0.846
Cl: 0.898 0.898 0.109
Sb: 0.588 0.588 0.451

---

[4]
Here is a relaxed ScSb2Cl crystal from the Alexandria database. Energies are from GGA-PBE.

Summary:
The value obtained for the density of states at the Fermi level is 0.276 states/eV per atom.

Cell lengths 3.737, 4.420, 8.020 Å; angles 83.66, 90.00, 90.00 degrees
Positions (direct):
Sb: 0.500 0.226 0.302
Sb: 0.000 0.961 0.091
Sc: 0.000 0.702 0.444
Cl: 0.500 0.610 0.662

---

[5]
Here is a relaxed ScSbCl2 crystal from the Alexandria database. Energies are from GGA-PBE.

Summary:
The value obtained for the density of states at the Fermi level is 1.094 states/eV per atom.

Cell lengths 10.100, 10.100, 10.100 Å; angles 19.80, 19.80, 19.80 degrees
Site moments in Bohr magnetons follow the coordinates.
Positions (direct):
Cl: 0.920 0.920 0.920  0.01
Cl: 0.080 0.080 0.080  0.01
Sb: 0.500 0.500 0.500  0.09
Sc: 0.000 0.000 0.000  0.05

---

[6]
Here is a relaxed ScSbCl crystal from the Alexandria database. Energies are from GGA-PBE.

Summary:
The value obtained for the density of states at the Fermi level is 0.330 states/eV per atom.

Cell lengths 5.135, 8.426, 8.426 Å; angles 122.21, 90.00, 90.00 degrees
Positions (direct):
Cl: 0.858 0.096 0.154
Cl: 0.858 0.596 0.654
Cl: 0.358 0.904 0.846
Cl: 0.358 0.404 0.346
Sb: 0.071 0.861 0.390
Sb: 0.571 0.139 0.610
Sb: 0.076 0.361 0.889
Sb: 0.576 0.639 0.111
Sc: 0.573 0.245 0.005
Sc: 0.068 0.256 0.495
Sc: 0.568 0.744 0.505
Sc: 0.073 0.755 0.995

---

[7]
Here is a relaxed ScSb2Cl crystal from the Alexandria database. Energies are from GGA-PBE.

Summary:
The value obtained for the density of states at the Fermi level is 0.573 states/eV per atom.

Cell lengths 5.889, 5.889, 3.361 Å; angles 89.96, 89.96, 122.13 degrees
Positions (direct):
Sb: 0.500 0.500 0.000
Sb: 0.000 0.000 0.000
Cl: 0.000 0.500 0.500
Sc: 0.500 0.000 0.500

---

[8]
Here is a relaxed Sc2SbCl crystal from the Alexandria database. Energies are from GGA-PBE.

Summary:
The value obtained for the density of states at the Fermi level is 2.079 states/eV per atom.

Cell lengths 9.946, 9.946, 9.946 Å; angles 19.38, 19.38, 19.38 degrees
Positions (direct):
Sc: 0.903 0.903 0.903
Sc: 0.097 0.097 0.097
Sb: 0.000 0.000 0.000
Cl: 0.500 0.500 0.500

---

[9]
Here is a relaxed ScSbCl2 crystal from the Alexandria database. Energies are from GGA-PBE.

Summary:
The value obtained for the density of states at the Fermi level is 0.252 states/eV per atom.

Cell lengths 3.262, 5.737, 4.723 Å; angles 90.00, 90.00, 90.00 degrees
Positions (direct):
Cl: 0.000 0.000 0.000
Cl: 0.500 0.500 0.000
Sb: 0.500 0.000 0.500
Sc: 0.000 0.500 0.500

---

[10]
Here is a relaxed ScSb2Cl crystal from the Alexandria database. Energies are from GGA-PBE.

Cell lengths 7.373, 7.373, 7.373 Å; angles 149.15, 136.27, 54.47 degrees
Positions (direct):
Cl: 0.274 0.774 0.500
Sb: 0.995 0.995 0.000
Sb: 0.835 0.335 0.500
Sc: 0.396 0.396 0.000

---

[11]
Here is a relaxed ScSbCl2 crystal from the Alexandria database. Energies are from GGA-PBE.

Summary:
The value obtained for the density of states at the Fermi level is 0.475 states/eV per atom.

Cell lengths 5.890, 5.890, 5.890 Å; angles 138.23, 138.23, 60.56 degrees
Positions (direct):
Cl: 0.000 0.000 0.000
Cl: 0.250 0.750 0.500
Sb: 0.500 0.500 0.000
Sc: 0.750 0.250 0.500

---

[12]
Here is a relaxed ScSbCl2 crystal from the Alexandria database. Energies are from GGA-PBE.

Summary:
The value obtained for the density of states at the Fermi level is 0.640 states/eV per atom.

Cell lengths 8.575, 8.575, 6.761 Å; angles 50.64, 50.64, 90.00 degrees
Positions (direct):
Cl: 0.245 0.625 0.250
Cl: 0.505 0.125 0.250
Cl: 0.375 0.495 0.750
Cl: 0.875 0.755 0.750
Sc: 0.250 0.750 0.500
Sc: 0.500 0.500 0.000
Sb: 0.000 0.000 0.000
Sb: 0.750 0.250 0.500

---

Number 1: formation energy (no corrections) -0.28 eV/atom. Number 2: formation energy (no corrections) -0.65 eV/atom. Number 3: formation energy (no corrections) -1.21 eV/atom. Number 4: formation energy (no corrections) -0.72 eV/atom. Number 5: formation energy (no corrections) -0.55 eV/atom. Number 6: formation energy (no corrections) -1.15 eV/atom. Number 7: formation energy (no corrections) -0.36 eV/atom. Number 8: formation energy (no corrections) -0.50 eV/atom. Number 9: formation energy (no corrections) -0.78 eV/atom. Number 10: formation energy (no corrections) -0.66 eV/atom. Number 11: formation energy (no corrections) -0.57 eV/atom. Number 12: formation energy (no corrections) -0.93 eV/atom.